Entry 1:
Density functional theory data (PBE) for NaCaNb after structural relaxation.

Unit cell a=9.9562 b=6.8121 c=3.3866 alpha=119.82 beta=70.05 gamma=115.16
Last column: nearest neighbours and their distance in Å.
Atoms (fractional coordinates):
Na1 0.8474 0.3766 0.2600  4 Na 3.39-3.62, 2 Nb 3.40, 4 Ca 3.67
Na2 0.0794 0.9946 0.6458  4 Na 3.39-3.62, 4 Nb 3.52, 2 Ca 3.53
Ca1 0.4273 0.1677 0.9702  4 Ca 3.39-3.79, 6 Nb 3.42-3.69, 2 Na 3.53
Ca2 0.6937 0.8003 0.3374  2 Nb 3.20, 2 Ca 3.39
Nb1 0.3883 0.6485 0.9906  2 Nb 2.51-2.52
Nb2 0.1793 0.5445 0.5944  2 Nb 2.51-2.52

DFT formation energy ... 0.50 eV/atom
Volume ... 29.65 Å³ per atom

***

Entry 2:
Density functional theory data (PBE) for AcTl after structural relaxation.

Unit cell a=3.9240 b=6.0127 c=6.0127 alpha=98.66 beta=90.00 gamma=90.00
Last column: nearest neighbours and their distance in Å.
Atoms (fractional coordinates):
Ac1 0.5000 0.7559 0.2441  8 Tl 3.58-3.60, 4 Ac 3.92
Ac2 0.5000 0.2441 0.7559  8 Tl 3.58-3.60, 4 Ac 3.92
Tl1 0.0000 0.2604 0.2604  8 Ac 3.58-3.60, 3 Tl 3.75-3.92
Tl2 0.0000 0.7396 0.7396  8 Ac 3.58-3.60, 3 Tl 3.75-3.92

DFT formation energy ... -0.35 eV/atom
Volume ... 35.06 Å³ per atom

***

Entry 3:
Density functional theory data (PBE) for Hf2ZnCo after structural relaxation.

Unit cell a=4.5702 b=4.5702 c=4.5702 alpha=60.00 beta=60.00 gamma=60.00
Last column: nearest neighbours and their distance in Å.
Atoms (fractional coordinates):
Co1 0.0000 0.0000 0.0000  8 Hf 2.80
Zn1 0.5000 0.5000 0.5000  8 Hf 2.80
Hf1 0.2500 0.2500 0.2500  4 Co 2.80, 4 Zn 2.80
Hf2 0.7500 0.7500 0.7500  4 Zn 2.80, 4 Co 2.80

DFT formation energy ... -0.22 eV/atom
Volume ... 16.87 Å³ per atom

***

Entry 4:
Density functional theory data (PBE) for LiNbSb2I after structural relaxation.

Unit cell a=5.3228 b=5.3228 c=6.0726 alpha=90.00 beta=90.00 gamma=90.00
Last column: nearest neighbours and their distance in Å.
Atoms (fractional coordinates):
I1 0.0000 0.0000 0.5000  2 Nb 3.04
Sb1 0.0000 0.5000 0.0000  2 Nb 2.66
Sb2 0.5000 0.0000 0.0000  2 Nb 2.66
Nb1 0.0000 0.0000 0.0000  4 Sb 2.66
Li1 0.5000 0.5000 0.5000  4 I 3.76, 8 Sb 4.04

VASP energy ... -4.235 eV per atom
Volume ... 34.41 Å³ per atom